No. 1
First-principles (SCAN) data for ScAl2Si at its PBEsol-relaxed geometry, as listed in Alexandria via LeMat-Bulk.

## Properties
The space-group type is P4/mmm. The value obtained for the electronic total energy is -41.24 eV per cell. Its total magnetic moment is 0.001 μB per cell. The value obtained for the uncorrected formation energy is -0.371 eV/atom.

Cell: 3.9716 3.9716 4.0947 Å, 90.00 90.00 90.00°
Fractional positions:
Al1 0.0000 0.5000 0.0000
Al2 0.5000 0.0000 0.0000
Sc1 0.5000 0.5000 0.5000
Si1 0.0000 0.0000 0.5000

=====

No. 2
First-principles (SCAN) data for Mn2CdSb at its PBEsol-relaxed geometry, as listed in Alexandria via LeMat-Bulk.

## Properties
The space-group type is P4/mmm. The value obtained for the electronic total energy is -104.19 eV per cell. Its total magnetic moment is 7.343 μB per cell. The value obtained for the uncorrected formation energy is -0.001 eV/atom.

Cell: 3.8455 4.1934 4.1941 Å, 90.00 90.00 90.00°
Site moments in Bohr magnetons follow the coordinates.
Fractional positions:
Cd1 0.5000 0.5000 0.1251  -0.09
Sb1 0.5000 0.0000 0.6250  -0.02
Mn1 0.0000 0.5000 0.6250  3.66
Mn2 0.0000 0.0000 0.1249  3.66

=====

No. 3
First-principles (SCAN) data for ReNi2Se at its PBEsol-relaxed geometry, as listed in Alexandria via LeMat-Bulk.

## Properties
The space-group type is Cm. The value obtained for the electronic total energy is -122.01 eV per cell. Its total magnetic moment is 0.000 μB per cell. The value obtained for the uncorrected formation energy is 0.377 eV/atom.

Cell: 2.8566 4.2820 4.5327 Å, 100.04 90.00 109.49°
Fractional positions:
Ni1 0.9937 0.9874 0.9825
Ni2 0.2488 0.4976 0.7753
Re1 0.5020 0.0040 0.5084
Se1 0.7555 0.5110 0.2337

=====

No. 4
First-principles (SCAN) data for SrNiAg2 at its PBEsol-relaxed geometry, as listed in Alexandria via LeMat-Bulk.

## Properties
The space-group type is Pmm2. The value obtained for the electronic total energy is -100.43 eV per cell. The formation energy comes out at 189 meV per atom. Its total magnetic moment is 0.002 μB per cell.

Cell: 3.4267 3.3840 6.7706 Å, 90.00 90.00 90.00°
Fractional positions:
Ag1 0.0000 0.0000 0.0553
Ag2 0.5000 0.5000 0.2723
Sr1 0.5000 0.5000 0.7308
Ni1 0.0000 0.0000 0.4417

=====

No. 5
First-principles (SCAN) data for MgZn4Br at its PBEsol-relaxed geometry, as listed in Alexandria via LeMat-Bulk.

## Properties
The space-group type is F-43m. The value obtained for the electronic total energy is -77.77 eV per cell. Its total magnetic moment is 0.000 μB per cell. The value obtained for the uncorrected formation energy is 0.120 eV/atom.

Cell: 5.3691 5.3691 5.3691 Å, 60.00 60.00 60.00°
Fractional positions:
Zn1 0.3728 0.8814 0.3728
Zn2 0.3728 0.3728 0.8814
Zn3 0.3728 0.3728 0.3728
Zn4 0.8814 0.3728 0.3728
Br1 0.7500 0.7500 0.7500
Mg1 0.0000 0.0000 0.0000

=====

No. 6
First-principles (SCAN) data for BaCa2Bi2 at its PBEsol-relaxed geometry, as listed in Alexandria via LeMat-Bulk.

## Properties
The space-group type is I4/mmm. The value obtained for the electronic total energy is -220.48 eV per cell. The formation energy comes out at -890 meV per atom. Its total magnetic moment is 0.000 μB per cell.

Cell: 5.0407 5.0407 8.1709 Å, 107.97 107.97 90.00°
Fractional positions:
Bi1 0.6190 0.6190 0.2379
Bi2 0.3810 0.3810 0.7621
Ca1 0.7500 0.2500 0.5000
Ca2 0.2500 0.7500 0.5000
Ba1 0.0000 0.0000 0.0000

=====

No. 7
First-principles (SCAN) data for LiY2As at its PBEsol-relaxed geometry, as listed in Alexandria via LeMat-Bulk.

## Properties
The space-group type is Amm2. The value obtained for the electronic total energy is -81.63 eV per cell. The formation energy comes out at -841 meV per atom. Its total magnetic moment is 1.495 μB per cell.

Cell: 4.0215 4.0815 5.7972 Å, 90.00 110.29 90.00°
Site moments in Bohr magnetons follow the coordinates.
Fractional positions:
Y1 0.1017 0.0000 0.2034  0.47
Y2 0.3930 0.5000 0.7860  0.38
As1 0.8203 0.0000 0.6406  -0.03
Li1 0.6847 0.5000 0.3694  0.02

=====

No. 8
First-principles (SCAN) data for Zr3FePd at its PBEsol-relaxed geometry, as listed in Alexandria via LeMat-Bulk.

## Properties
The space-group type is Pm-3m. The value obtained for the electronic total energy is -142.07 eV per cell. The formation energy comes out at 186 meV per atom. Its total magnetic moment is 0.000 μB per cell.

Cell: 4.6746 4.6746 4.6746 Å, 90.00 90.00 90.00°
Fractional positions:
Pd1 0.5000 0.5000 0.5000
Zr1 0.0000 0.5000 0.0000
Zr2 0.0000 0.0000 0.5000
Zr3 0.5000 0.0000 0.0000
Fe1 0.0000 0.0000 0.0000

=====

No. 9
First-principles (SCAN) data for OsBr4 at its PBEsol-relaxed geometry, as listed in Alexandria via LeMat-Bulk.

## Properties
The space-group type is Pbca. The value obtained for the electronic total energy is -1202.58 eV per cell. Its total magnetic moment is 16.040 μB per cell. The value obtained for the uncorrected formation energy is -0.121 eV/atom.

Cell: 6.2464 12.0870 14.5126 Å, 90.00 90.00 90.00°
Site moments in Bohr magnetons follow the coordinates.
Fractional positions:
Os1 0.9076 0.1275 0.3181  1.22
Os2 0.4076 0.3725 0.6819  1.22
Os3 0.5924 0.8725 0.8181  1.22
Os4 0.0924 0.6275 0.1819  1.22
Os5 0.9076 0.3725 0.8181  1.22
Os6 0.5924 0.6275 0.3181  1.22
Os7 0.0924 0.8725 0.6819  1.22
Os8 0.4076 0.1275 0.1819  1.22
Br1 0.7616 0.5134 0.1906  0.05
Br2 0.7555 0.4949 0.9310  0.18
Br3 0.4397 0.7513 0.9314  0.18
Br4 0.2616 0.9866 0.8094  0.05
Br5 0.7445 0.9949 0.9310  0.18
Br6 0.2555 0.0051 0.0690  0.18
Br7 0.0603 0.2513 0.9314  0.18
Br8 0.2555 0.4949 0.5690  0.18
Br9 0.2384 0.4866 0.8094  0.05
Br10 0.5768 0.2585 0.8091  0.05
Br11 0.9232 0.7415 0.3091  0.05
Br12 0.4232 0.7415 0.1909  0.05
Br13 0.2445 0.9949 0.5690  0.18
Br14 0.9397 0.7513 0.5686  0.18
Br15 0.5603 0.2513 0.5686  0.18
Br16 0.4397 0.7487 0.4314  0.18
Br17 0.7384 0.0134 0.1906  0.05
Br18 0.7445 0.5051 0.4310  0.18
Br19 0.2616 0.5134 0.3094  0.05
Br20 0.5768 0.2415 0.3091  0.05
Br21 0.0603 0.2487 0.4314  0.18
Br22 0.4232 0.7585 0.6909  0.05
Br23 0.2445 0.5051 0.0690  0.18
Br24 0.0768 0.2585 0.6909  0.05
Br25 0.7555 0.0051 0.4310  0.18
Br26 0.7616 0.9866 0.6906  0.05
Br27 0.9397 0.7487 0.0686  0.18
Br28 0.7384 0.4866 0.6906  0.05
Br29 0.9232 0.7585 0.8091  0.05
Br30 0.2384 0.0134 0.3094  0.05
Br31 0.0768 0.2415 0.1909  0.05
Br32 0.5603 0.2487 0.0686  0.18

=====

No. 10
First-principles (SCAN) data for LiMo2Br at its PBEsol-relaxed geometry, as listed in Alexandria via LeMat-Bulk.

## Properties
The space-group type is C2/m. The value obtained for the electronic total energy is -90.65 eV per cell. Its total magnetic moment is 0.000 μB per cell. The value obtained for the uncorrected formation energy is 0.242 eV/atom. The energy above the most stable polymorph in this dataset comes out at 2.8 kJ per mole of atoms.

Cell: 3.2194 3.3395 6.6666 Å, 103.37 103.97 90.00°
Fractional positions:
Mo1 0.2957 0.3233 0.5913
Mo2 0.7043 0.6767 0.4087
Br1 0.0000 0.5000 0.0000
Li1 0.5000 0.0000 0.0000

=====

No. 11
First-principles (SCAN) data for SrY4Al at its PBEsol-relaxed geometry, as listed in Alexandria via LeMat-Bulk.

## Properties
The space-group type is F-43m. The value obtained for the electronic total energy is -139.22 eV per cell. The formation energy comes out at 364 meV per atom. Its total magnetic moment is 0.000 μB per cell.

Cell: 6.4248 6.4248 6.4248 Å, 60.00 60.00 60.00°
Fractional positions:
Al1 0.7500 0.7500 0.7500
Y1 0.3762 0.8714 0.3762
Y2 0.8714 0.3762 0.3762
Y3 0.3762 0.3762 0.3762
Y4 0.3762 0.3762 0.8714
Sr1 0.0000 0.0000 0.0000

=====

No. 12
First-principles (SCAN) data for SrGaSeBr2 at its PBEsol-relaxed geometry, as listed in Alexandria via LeMat-Bulk.

## Properties
The space-group type is P4/mmm. The value obtained for the electronic total energy is -101.90 eV per cell. Its total magnetic moment is 1.001 μB per cell. The value obtained for the uncorrected formation energy is -0.857 eV/atom.

Cell: 5.7760 5.7760 5.8784 Å, 90.00 90.00 90.00°
Site moments in Bohr magnetons follow the coordinates.
Fractional positions:
Br1 0.0000 0.5000 0.0000  0.04
Br2 0.5000 0.0000 0.0000  0.04
Sr1 0.0000 0.0000 0.0000  -0.01
Se1 0.0000 0.0000 0.5000  0.52
Ga1 0.5000 0.5000 0.5000  0.00

=====

No. 13
First-principles (SCAN) data for BaLi2As2 at its PBEsol-relaxed geometry, as listed in Alexandria via LeMat-Bulk.

## Properties
The space-group type is I4/mmm. The value obtained for the electronic total energy is -89.65 eV per cell. The formation energy comes out at -988 meV per atom. Its total magnetic moment is 0.000 μB per cell.

Cell: 4.5078 4.5078 6.1718 Å, 111.42 111.42 90.00°
Fractional positions:
Ba1 0.0000 0.0000 0.0000
Li1 0.7500 0.2500 0.5000
Li2 0.2500 0.7500 0.5000
As1 0.6197 0.6197 0.2394
As2 0.3803 0.3803 0.7606

=====

No. 14
First-principles (SCAN) data for Mg2CoRe at its PBEsol-relaxed geometry, as listed in Alexandria via LeMat-Bulk.

## Properties
The space-group type is Pm. The value obtained for the electronic total energy is -97.07 eV per cell. The formation energy comes out at 319 meV per atom. Its total magnetic moment is 0.001 μB per cell. The energy above the most stable polymorph in this dataset comes out at 15.8 kJ per mole of atoms.

Cell: 2.7325 4.1618 5.4579 Å, 90.00 103.50 90.00°
Fractional positions:
Mg1 0.7335 0.5000 0.2660
Mg2 0.0552 0.0000 0.9884
Co1 0.2840 0.5000 0.7145
Re1 0.4273 0.0000 0.5312

=====

No. 15
First-principles (SCAN) data for KBa2Sr at its PBEsol-relaxed geometry, as listed in Alexandria via LeMat-Bulk.

## Properties
The space-group type is P2/m. The value obtained for the electronic total energy is -109.38 eV per cell. The formation energy comes out at 81 meV per atom. Its total magnetic moment is 0.141 μB per cell. The energy above the most stable polymorph in this dataset comes out at 2.6 kJ per mole of atoms.

Cell: 4.2181 7.0054 8.0747 Å, 90.00 98.47 90.00°
Fractional positions:
Ba1 0.2639 0.0000 0.2573
Ba2 0.7361 0.0000 0.7427
Sr1 0.0000 0.5000 0.5000
K1 0.5000 0.5000 0.0000

=====

No. 16
First-principles (SCAN) data for Ta2ZnBr at its PBEsol-relaxed geometry, as listed in Alexandria via LeMat-Bulk.

## Properties
The space-group type is P4mm. The value obtained for the electronic total energy is -164.76 eV per cell. Its total magnetic moment is 0.000 μB per cell. The value obtained for the uncorrected formation energy is 0.345 eV/atom. The energy above the most stable polymorph in this dataset comes out at 0.0 kJ per mole of atoms.

Cell: 3.3318 3.3318 6.9580 Å, 90.00 90.00 90.00°
Fractional positions:
Zn1 0.0000 0.0000 0.4386
Ta1 0.0000 0.0000 0.0296
Ta2 0.5000 0.5000 0.2375
Br1 0.5000 0.5000 0.7943

=====

No. 17
First-principles (SCAN) data for CdInPO2 at its PBEsol-relaxed geometry, as listed in Alexandria via LeMat-Bulk.

## Properties
The space-group type is P4/mmm. The value obtained for the electronic total energy is -85.65 eV per cell. Its total magnetic moment is 0.716 μB per cell. The value obtained for the uncorrected formation energy is 0.202 eV/atom.

Cell: 4.0535 4.0535 5.1316 Å, 90.00 90.00 90.00°
Site moments in Bohr magnetons follow the coordinates.
Fractional positions:
In1 0.5000 0.5000 0.5000  -0.01
O1 0.5000 0.0000 0.0000  0.23
O2 0.0000 0.5000 0.0000  0.23
P1 0.0000 0.0000 0.5000  0.11
Cd1 0.0000 0.0000 0.0000  0.02

=====

No. 18
First-principles (SCAN) data for TiAuSe2N at its PBEsol-relaxed geometry, as listed in Alexandria via LeMat-Bulk.

## Properties
The space-group type is P4/mmm. The value obtained for the electronic total energy is -131.48 eV per cell. Its total magnetic moment is 3.250 μB per cell. The value obtained for the uncorrected formation energy is 0.631 eV/atom.

Cell: 3.6984 5.1523 5.1523 Å, 90.00 90.00 90.00°
Site moments in Bohr magnetons follow the coordinates.
Fractional positions:
Se1 0.0000 0.0000 0.5000  0.00
Se2 0.0000 0.5000 0.0000  0.00
N1 0.5000 0.0000 0.0000  0.90
Au1 0.0000 0.0000 0.0000  0.14
Ti1 0.5000 0.5000 0.5000  1.64

=====

No. 19
First-principles (SCAN) data for LiZn3 at its PBEsol-relaxed geometry, as listed in Alexandria via LeMat-Bulk.

## Properties
The space-group type is C2/m. The value obtained for the electronic total energy is -43.44 eV per cell. The formation energy comes out at -126 meV per atom. Its total magnetic moment is 0.000 μB per cell.

Cell: 2.6482 4.5988 4.8086 Å, 97.44 90.00 106.73°
Fractional positions:
Zn1 0.5000 0.0000 0.5000
Zn2 0.2440 0.4880 0.7508
Zn3 0.7560 0.5120 0.2492
Li1 0.0000 0.0000 0.0000

=====

No. 20
First-principles (SCAN) data for Rb3AuF at its PBEsol-relaxed geometry, as listed in Alexandria via LeMat-Bulk.

## Properties
The space-group type is Pm-3m. The value obtained for the electronic total energy is -141.23 eV per cell. Its total magnetic moment is 0.003 μB per cell. The value obtained for the uncorrected formation energy is -1.262 eV/atom.

Cell: 5.4634 5.4634 5.4634 Å, 90.00 90.00 90.00°
Fractional positions:
Au1 0.5000 0.5000 0.5000
F1 0.0000 0.0000 0.0000
Rb1 0.0000 0.0000 0.5000
Rb2 0.0000 0.5000 0.0000
Rb3 0.5000 0.0000 0.0000